1.
NiP2Rh | PBEsol | optimized geometry

The structure in extended XYZ format:
```
4
Lattice="-1.1194 0.5560 -2.5698 0.0607 -1.9934 -2.0465 -6.5204 -2.8897 0.6262" Properties=species:S:1:pos:R:3 pbc="T T T"
Rh -3.7895 -2.1636 -1.9950
Ni 0.0000 0.0000 0.0000
P -5.7644 -3.2767 -2.9645
P -1.8146 -1.0505 -1.0256
```

Values from the calculation:
- Total magnetic moment: 0.0 μB/f.u.
- Energy relative to the lowest polymorph listed for this composition: 0.0 meV per atom
- Energy of formation from the pure elements: -0.3344 eV per atom

2.
NiPRhS2 | PBEsol | optimized geometry

The structure in extended XYZ format:
```
5
Lattice="4.2940 0.0000 0.0000 0.0000 4.6686 0.0000 0.0000 0.0000 4.6686" Properties=species:S:1:pos:R:3 pbc="T T T"
Rh 0.0000 0.0000 0.0000
S 0.0000 2.3343 0.0000
S 0.0000 0.0000 2.3343
P 2.1470 0.0000 0.0000
Ni 2.1470 2.3343 2.3343
```

Values from the calculation:
- ΔE_f (raw): 20.26 kcal/mol of atoms
- Total magnetic moment: 1.5 μB/f.u.

3.
NiP2RhW | PBEsol | optimized geometry

The structure in extended XYZ format:
```
5
Lattice="-2.6403 -3.1137 0.5535 2.4074 -2.4464 -2.2786 2.2750 -1.2611 3.7576" Properties=species:S:1:pos:R:3 pbc="T T T"
P -1.3201 -1.5568 0.2768
P 1.2037 -1.2232 -1.1393
W 1.1375 -0.6305 1.8788
Ni 0.0000 0.0000 0.0000
Rh 1.0211 -3.4106 1.0163
```

Values from the calculation:
- Total magnetic moment: 0.0 μB/f.u.
- Energy of formation from the pure elements: 1.0970 eV per atom

4.
Ni2PRu | PBEsol | optimized geometry

The structure in extended XYZ format:
```
4
Lattice="-2.6396 0.4767 -0.4201 -0.0606 -2.8531 -2.8564 0.3923 -1.6230 4.4666" Properties=species:S:1:pos:R:3 pbc="T T T"
Ni -1.8947 -2.7867 -0.0300
Ni -0.4132 -1.2128 1.2201
Ru -0.0303 -1.4265 -1.4282
P -1.3198 0.2383 -0.2100
```

Values from the calculation:
- Total magnetic moment: 0.0 μB/f.u.
- Energy of formation from the pure elements: -0.2614 eV per atom

Number 1: energy -6.8041 eV per atom. Number 2: energy -4.8928 eV per atom. Number 3: energy -6.8403 eV per atom. Number 4: energy -7.3311 eV per atom.